Crystalline HoMgAlIn at its relaxed geometry, computed with GGA-PBE.

## Properties
Fermi-level density of states: 0.591 states/eV/atom
formation energy: -206 meV/atom
energy above the lowest structure with this stoichiometry: 13.3 kJ/mol of atoms
VASP energy: -0.124 Ha/atom

a = 5.0660 Å, b = 5.0660 Å, c = 5.0660 Å
α = 60.00°, β = 60.00°, γ = 60.00°
Last column: nearest neighbours and their distance in Å.
Fractional coordinates of all 4 atoms:
Ho 0.0000 0.0000 0.0000  4 In 3.10, 4 Al 3.10
Mg 0.5000 0.5000 0.5000  4 Al 3.10, 4 In 3.10
Al 0.7500 0.7500 0.7500  4 Mg 3.10, 4 Ho 3.10
In 0.2500 0.2500 0.2500  4 Mg 3.10, 4 Ho 3.10

Crystalline NaHoAlIn at its relaxed geometry, computed with GGA-PBE.

## Properties
Fermi-level density of states: 0.469 states/eV/atom
formation energy: -141 meV/atom
VASP energy: -0.119 Ha/atom

a = 5.1661 Å, b = 5.1661 Å, c = 5.1661 Å
α = 60.00°, β = 60.00°, γ = 60.00°
Last column: nearest neighbours and their distance in Å.
Fractional coordinates of all 4 atoms:
Na 0.0000 0.0000 0.0000  4 In 3.16, 4 Al 3.16
Ho 0.5000 0.5000 0.5000  4 In 3.16, 4 Al 3.16
Al 0.2500 0.2500 0.2500  4 Ho 3.16, 4 Na 3.16
In 0.7500 0.7500 0.7500  4 Ho 3.16, 4 Na 3.16

Crystalline Ho2Al2InNi5 at its relaxed geometry, computed with GGA-PBE.

## Properties
Fermi-level density of states: 0.716 states/eV/atom
formation energy: -377 meV/atom
VASP energy: -0.191 Ha/atom

a = 9.5326 Å, b = 9.5326 Å, c = 3.5515 Å
α = 90.00°, β = 90.00°, γ = 90.00°
Last column: nearest neighbours and their distance in Å.
Fractional coordinates of all 20 atoms:
Ho 0.1830 0.3170 0.0000  3 Al 2.76-2.89, 10 Ni 3.04-3.07
Ho 0.3170 0.8170 0.0000  3 Al 2.76-2.89, 10 Ni 3.04-3.07
Ho 0.6830 0.1830 0.0000  3 Al 2.76-2.89, 10 Ni 3.04-3.07
Ho 0.8170 0.6830 0.0000  3 Al 2.76-2.89, 10 Ni 3.04-3.07
Al 0.1124 0.6124 0.0000  6 Ni 2.33-2.43
Al 0.3876 0.1124 0.0000  6 Ni 2.33-2.43
Al 0.6124 0.8876 0.0000  6 Ni 2.33-2.43
Al 0.8876 0.3876 0.0000  6 Ni 2.33-2.43
In 0.0000 0.0000 0.0000  8 Ni 2.82
In 0.5000 0.5000 0.0000  8 Ni 2.82
Ni 0.0000 0.5000 0.5000  4 Al 2.33
Ni 0.0614 0.7788 0.5000  2 Al 2.43, 1 Ni 2.72
Ni 0.2212 0.0614 0.5000  2 Al 2.43, 1 Ni 2.72
Ni 0.2788 0.5614 0.5000  2 Al 2.43, 1 Ni 2.72
Ni 0.4386 0.2788 0.5000  2 Al 2.43, 1 Ni 2.72
Ni 0.5000 0.0000 0.5000  4 Al 2.33
Ni 0.5614 0.7212 0.5000  2 Al 2.43, 1 Ni 2.72
Ni 0.7212 0.4386 0.5000  2 Al 2.43, 1 Ni 2.72
Ni 0.7788 0.9386 0.5000  2 Al 2.43, 1 Ni 2.72
Ni 0.9386 0.2212 0.5000  2 Al 2.43, 1 Ni 2.72